The following is a DFT calculation (PBE) of an optimized crystal structure of BaTaBe.

Unit cell a=4.9014 b=4.9014 c=3.2399 alpha=90.00 beta=90.00 gamma=120.00
Closest atoms and distances in Å follow each position.
Space group P3m1 (No. 156)
Inequivalent atoms, fractional coordinates:
1 Ba 0.0000 0.0000 0.0000 x1  2 Ba 3.24, 6 Be 3.26, 6 Ta 3.26
2 Ta 0.3333 0.6667 0.4993 x1  3 Be 2.83
3 Be 0.6667 0.3333 0.5010 x1  3 Ta 2.83

Offset from the most stable computed form (meV per atom): 489
DFT total energy (eV for the cell shown): -13.77
Fermi-level density of states (states/eV per cell): 2.62
DFT formation energy (eV/atom): 1.243